(1)
This record from Alexandria via LeMat-Bulk describes a PBEsol-optimized structure of HfMoS2Cl. The functional is meta-GGA SCAN.

Lattice parameters (Å, degrees): 4.892 4.892 4.807 90.00 90.00 90.00
Fractional coordinates of all 5 atoms:
Hf 0.000 0.000 0.000
Mo 0.500 0.500 0.500
S 0.000 0.500 0.000
S 0.500 0.000 0.000
Cl 0.000 0.000 0.500

Values from the calculation:
- Magnetization: 4.88 μB/cell
- Final energy: -25.30 eV/atom

***

(2)
This record from Alexandria via LeMat-Bulk describes a PBEsol-optimized structure of Hf2MoWCl. The functional is meta-GGA SCAN.

Lattice parameters (Å, degrees): 4.625 4.625 4.312 90.00 90.00 90.00
Fractional coordinates of all 5 atoms:
Hf 0.000 0.500 0.000
Hf 0.500 0.000 0.000
Mo 0.000 0.000 0.500
W 0.500 0.500 0.500
Cl 0.500 0.500 0.000

Values from the calculation:
- Magnetization: 0.00 μB/cell
- Final energy: -46.72 eV/atom

***

(3)
This record from Alexandria via LeMat-Bulk describes a PBEsol-optimized structure of HfNCl. The functional is meta-GGA SCAN.

Lattice parameters (Å, degrees): 9.819 9.819 9.819 20.82 20.82 20.82
Fractional coordinates of all 6 atoms:
Hf 0.122 0.122 0.122
Hf 0.878 0.878 0.878
N 0.196 0.196 0.196
N 0.804 0.804 0.804
Cl 0.393 0.393 0.393
Cl 0.607 0.607 0.607

Values from the calculation:
- Magnetization: 0.00 μB/cell
- Final energy: -28.78 eV/atom

***

(4)
This record from Alexandria via LeMat-Bulk describes a PBEsol-optimized structure of NaHf8N8Cl8. The functional is meta-GGA SCAN.

Lattice parameters (Å, degrees): 6.165 3.585 19.722 90.00 95.70 90.00
Fractional coordinates of all 25 atoms:
Na 0.000 0.000 0.000
Hf 0.102 0.500 0.807
Hf 0.106 0.000 0.321
Hf 0.393 0.500 0.679
Hf 0.401 0.000 0.194
Hf 0.599 0.000 0.806
Hf 0.607 0.500 0.321
Hf 0.894 0.000 0.679
Hf 0.898 0.500 0.193
N 0.066 0.500 0.700
N 0.072 0.000 0.210
N 0.431 0.500 0.789
N 0.434 0.000 0.300
N 0.566 0.000 0.700
N 0.569 0.500 0.211
N 0.928 0.000 0.790
N 0.934 0.500 0.300
Cl 0.197 0.000 0.588
Cl 0.198 0.500 0.093
Cl 0.300 0.000 0.904
Cl 0.303 0.500 0.412
Cl 0.697 0.500 0.588
Cl 0.700 0.000 0.096
Cl 0.802 0.500 0.907
Cl 0.803 0.000 0.412

Values from the calculation:
- Magnetization: 0.00 μB/cell
- Final energy: -27.83 eV/atom

***

(5)
This record from Alexandria via LeMat-Bulk describes a PBEsol-optimized structure of NaHfCl2. The functional is meta-GGA SCAN.

Lattice parameters (Å, degrees): 6.202 6.202 6.202 110.75 110.75 106.95
Fractional coordinates of all 8 atoms:
Na 0.000 0.000 0.000
Na 0.750 0.250 0.500
Hf 0.250 0.750 0.500
Hf 0.500 0.500 0.000
Cl 0.150 0.125 0.525
Cl 0.375 0.850 0.975
Cl 0.600 0.625 0.475
Cl 0.875 0.400 0.025

Values from the calculation:
- Magnetization: 5.12 μB/cell
- Final energy: -21.35 eV/atom

***

(6)
This record from Alexandria via LeMat-Bulk describes a PBEsol-optimized structure of NaHfCl2. The functional is meta-GGA SCAN.

Lattice parameters (Å, degrees): 10.228 10.228 10.228 18.25 18.25 18.25
Fractional coordinates of all 4 atoms:
Na 0.000 0.000 0.000
Hf 0.500 0.500 0.500
Cl 0.107 0.107 0.107
Cl 0.893 0.893 0.893

Values from the calculation:
- Magnetization: 0.00 μB/cell
- Final energy: -21.81 eV/atom

***

Number 1: formation energy from raw total energies -1.7 eV per formula unit. Number 2: formation energy from raw total energies 4.3 eV per formula unit. Number 3: formation energy from raw total energies -6.4 eV per formula unit. Number 4: formation energy from raw total energies -51.9 eV per formula unit. Number 5: formation energy from raw total energies -2.5 eV per formula unit. Number 6: formation energy from raw total energies -4.4 eV per formula unit.